No. 1
K2SrTlI (PBE, relaxed); E_form (uncorrected) = -0.313 eV/atom; DOS(E_F) = 4.267 states/eV/f.u.
1.0
6.495 0.000 0.000
0.000 6.495 0.000
0.000 0.000 6.574
K Sr Tl I
2 1 1 1
Direct
0.000 0.500 0.000
0.500 0.000 0.000
0.000 0.000 0.500
0.500 0.500 0.500
0.000 0.000 0.000

***

No. 2
Ba4InBiO6 (PBE, relaxed); E_form (uncorrected) = -1.825 eV/atom; DOS(E_F) = 2.946 states/eV/f.u.
1.0
4.536 0.000 0.000
0.000 4.536 0.000
0.000 0.000 13.324
Ba In Bi O
4 1 1 6
Direct
0.000 0.000 0.130
0.000 0.000 0.870
0.500 0.500 0.361
0.500 0.500 0.639
0.500 0.500 0.000
0.000 0.000 0.500
0.000 0.000 0.317
0.000 0.000 0.683
0.000 0.500 0.000
0.000 0.500 0.500
0.500 0.000 0.000
0.500 0.000 0.500

***

No. 3
CoNi6Pt (PBE, relaxed); energy relative to the elements = -3 kJ/mol of formula units; excess energy over the best structure of this formula in the dataset = 0.022 eV per atom; DOS(E_F) = 14.361 states/eV/f.u.
1.0
5.096 0.000 0.000
-2.548 4.413 0.000
0.000 0.000 4.144
Co Ni Pt
1 6 1
Direct
0.000 0.000 0.000
0.009 0.505 0.000
0.166 0.331 0.500
0.166 0.834 0.500
0.495 0.505 0.000
0.495 0.991 0.000
0.669 0.834 0.500
0.667 0.333 0.500

***

No. 4
Ba4IrSe (PBE, relaxed); E_form (uncorrected) = -0.712 eV/atom; excess energy over the best structure of this formula in the dataset = 0.000 eV per atom; DOS(E_F) = 4.089 states/eV/f.u.
1.0
7.760 -2.315 0.000
7.760 2.315 0.000
-1.579 0.000 8.072
Ba Ir Se
4 1 1
Direct
0.111 0.111 0.347
0.388 0.388 0.118
0.612 0.612 0.882
0.889 0.889 0.653
0.000 0.000 0.000
0.500 0.500 0.500

***

No. 5
Cr4Ir (PBE, relaxed); energy relative to the elements = -4 kJ/mol of formula units; excess energy over the best structure of this formula in the dataset = 0.000 eV per atom; DOS(E_F) = 6.541 states/eV/f.u.
1.0
-3.266 3.266 1.430
3.266 -3.266 1.430
3.266 3.266 -1.430
Cr Ir
4 1
Direct
0.115 0.684 0.799
0.316 0.115 0.431
0.684 0.885 0.569
0.885 0.316 0.201
0.500 0.500 0.000

***

No. 6
SrCoAu3 (PBE, relaxed); energy relative to the elements = -54 kJ/mol of formula units; excess energy over the best structure of this formula in the dataset = 0.000 eV per atom; DOS(E_F) = 7.021 states/eV/f.u.
1.0
4.912 0.000 0.000
0.000 4.912 0.000
0.000 0.000 4.912
Sr Co Au
1 1 3
Direct
0.000 0.000 0.000
0.500 0.500 0.500
0.000 0.500 0.500
0.500 0.000 0.500
0.500 0.500 0.000